AlSb2S5 | PBE | relaxed

It has space group Cmcm (No. 63), with a = 5.257 Å, b = 12.364 Å, c = 12.268 Å, α = 90.00°, β = 90.00° and γ = 90.00°. The inequivalent atoms are Al at (0.000, 0.200, 0.250), Sb at (0.000, 0.149, 0.567), S at (0.000, 0.056, 0.122), S at (0.000, 0.270, 0.750) and S at (0.000, 0.320, 0.096).

The calculation puts the spin magnetization at 0.0 μB/cell. As for the calculated volume: 797 Å³/cell. Its density of states at the Fermi level is 0.333 states/eV per atom. The value obtained for the uncorrected energy is -4.3969 eV per atom.

---

AlSb2S | PBE | relaxed

It has space group Fm-3m (No. 225), with a = 7.053 Å, b = 7.053 Å, c = 7.053 Å, α = 90.00°, β = 90.00° and γ = 90.00°. The inequivalent atoms are Al at (0.000, 0.000, 0.000), Sb at (0.250, 0.250, 0.250) and S at (0.000, 0.000, 0.500).

The calculation puts the spin magnetization at 0.0 μB/cell. As for the calculated volume: 351 Å³/cell. Its density of states at the Fermi level is 0.696 states/eV per atom. The value obtained for the uncorrected energy is -3.7472 eV per atom.